Entry 1:
Here is a geometry-optimized Sr4Ti3TlO12 structure from the Alexandria database. Energies are from PBE-GGA.

Properties
- uncorrected formation energy (meV/atom) = -2630
- total moment (Bohr magnetons per cell) = 0.0

Lattice parameters (Å, degrees): 7.010 7.010 7.010 109.47 109.47 109.47
Element x y z (fractional)
Sr 0.500 0.500 0.500
Sr 0.000 0.000 0.500
Sr 0.500 0.000 0.000
Sr 0.000 0.500 0.000
Ti 0.500 0.000 0.500
Ti 0.500 0.500 0.000
Ti 0.000 0.500 0.500
Tl 0.000 0.000 0.000
O 0.250 0.500 0.750
O 0.733 0.000 0.733
O 0.267 0.000 0.267
O 0.750 0.500 0.250
O 0.733 0.733 0.000
O 0.267 0.267 0.000
O 0.750 0.250 0.500
O 0.250 0.750 0.500
O 0.500 0.250 0.750
O 0.000 0.733 0.733
O 0.500 0.750 0.250
O 0.000 0.267 0.267

Entry 2:
Here is a geometry-optimized BaMgP2S structure from the Alexandria database. Energies are from PBE-GGA.

Properties
- uncorrected formation energy (meV/atom) = -317
- total moment (Bohr magnetons per cell) = 0.0
- E above lowest polymorph (meV per atom) = 0

Lattice parameters (Å, degrees): 4.906 4.906 5.111 90.00 90.00 90.00
Element x y z (fractional)
Mg 0.000 0.000 0.000
P 0.000 0.500 0.000
P 0.500 0.000 0.000
S 0.000 0.000 0.500
Ba 0.500 0.500 0.500

Entry 3:
Here is a geometry-optimized Si2TcW structure from the Alexandria database. Energies are from PBE-GGA.

Properties
- uncorrected formation energy (meV/atom) = -256
- total moment (Bohr magnetons per cell) = 0.0
- E above lowest polymorph (meV per atom) = 119

Lattice parameters (Å, degrees): 4.105 3.101 4.666 70.61 90.00 90.00
Element x y z (fractional)
Si 0.000 0.213 0.950
Si 0.500 0.036 0.302
Tc 0.000 0.490 0.395
W 0.500 0.761 0.853